A geometry-optimized K4CrCu structure, computed with PBEsol.

Lattice parameters (Å, degrees): 7.0681 7.0681 7.0681 60.00 60.00 60.00
Fractional positions:
Cr  0.7500  0.7500  0.7500
K  0.3746  0.3746  0.8763
Cu  0.0000  0.0000  0.0000
K  0.8763  0.3746  0.3746
K  0.3746  0.8763  0.3746
K  0.3746  0.3746  0.3746

Uncorrected energy ... -12.8 eV/cell
Fermi-level density of states ... 3.0 states/eV/cell
DFT formation energy ... 1.044 eV per atom

=====

A geometry-optimized AlCrCl2 structure, computed with PBEsol.

Lattice parameters (Å, degrees): 3.1435 4.1269 5.6942 90.00 90.00 90.00
Fractional positions:
Cl  0.0000  0.0000  0.0000
Cr  0.5000  0.5000  0.0000
Cl  0.5000  0.0000  0.5000
Al  0.0000  0.5000  0.5000

E above lowest polymorph ... 178 meV per atom
Uncorrected energy ... -18.6 eV/cell
Formation energy without anion corrections ... -0.21 eV per formula unit
Fermi-level density of states ... 2.1 states/eV/cell